1.
CaCu2Tc | Alexandria | meta-GGA SCAN | single point on PBEsol structure; ΔH_f (0 K) = 0.57 eV/atom; magnetization = 1.15 μB per formula unit; crystal system = tetragonal; D(E_F) = 2.2 states/eV/cell
1.0
3.797 0.000 0.000
0.000 3.797 0.000
-1.899 -1.899 4.246
Ca Cu Tc
1 2 1
direct
0.250 0.750 0.500
0.000 0.000 0.000
0.750 0.250 0.500
0.500 0.500 0.000

2.
CaCuTc | Alexandria | meta-GGA SCAN | single point on PBEsol structure; relative energy among the computed polymorphs = 0.947 eV per atom; ΔH_f (0 K) = 1.48 eV/atom; magnetization = 2.83 μB per formula unit; crystal system = cubic; D(E_F) = 1.8 states/eV/cell
1.0
-0.190 4.438 0.248
-3.869 2.100 -0.643
-2.068 1.950 3.422
Ca Tc Cu
1 1 1
direct
0.250 0.250 0.250
0.500 0.500 0.500
0.000 0.000 0.000

3.
Ca2CuTc | Alexandria | meta-GGA SCAN | single point on PBEsol structure; relative energy among the computed polymorphs = 0.000 eV per atom; ΔH_f (0 K) = 0.43 eV/atom; magnetization = 0.00 μB per formula unit; crystal system = orthorhombic; D(E_F) = 3.5 states/eV/cell
1.0
3.099 0.000 0.000
0.000 5.000 0.000
-1.549 -2.500 5.314
Ca Cu Tc
2 1 1
direct
0.981 0.981 0.962
0.778 0.278 0.556
0.530 0.530 0.060
0.211 0.711 0.422

4.
CaCuTe | Alexandria | meta-GGA SCAN | single point on PBEsol structure; magnetization = 0.00 μB per formula unit; crystal system = cubic; D(E_F) = 2.3 states/eV/cell; E_form (uncorrected) = -0.27 eV per atom
1.0
-2.037 1.397 4.150
1.403 -1.992 4.169
2.539 2.597 3.183
Ca Te Cu
1 1 1
direct
0.000 0.000 0.000
0.250 0.250 0.250
0.500 0.500 0.500

- What is the D(E_F) in the second record?
  1.8 states/eV/cell

- Which of these has the lowest D(E_F)?
  CaCuTc

- Which value of magnetization does entry 3 give?
  0.00 μB per formula unit